Record 1
10
Lattice="-1.959 3.697 -5.763 -2.955 -5.863 -2.757 -2.604 0.689 1.327" Properties=species:S:1:pos:R:3 comment="NbZn2Rh2 | the Alexandria database | PBE-GGA | optimized geometry" ef_ev_per_atom=-0.223 final_energy_ev_per_cell=-56.9 relative_energy_kcal_per_mol_atoms=2.24 rho_g_cm3=9.4 dos_at_fermi_per_ev_atom=0.8723 pbc="T T T"
Zn -3.535 -2.920 -2.024
Zn -3.984 1.442 -5.168
Zn -5.084 -2.201 -5.437
Zn -2.435 0.723 -1.756
Rh -3.580 -0.612 -6.708
Rh -1.688 1.536 -4.109
Rh -1.334 -1.555 -1.811
Rh -3.227 -3.703 -4.411
Nb 0.000 0.000 0.000
Nb -2.457 -1.083 -4.260

=====

Record 2
12
Lattice="-2.977 -2.682 1.930 5.708 -4.465 2.601 0.258 2.942 4.486" Properties=species:S:1:pos:R:3 comment="NbZnRh | the Alexandria database | PBE-GGA | optimized geometry" ef_ev_per_atom=-0.364 final_energy_ev_per_cell=-79.2 rho_g_cm3=9.4 dos_at_fermi_per_ev_atom=0.7967 pbc="T T T"
Nb 3.601 -2.482 4.667
Nb -0.612 -1.722 4.349
Nb -0.615 -0.147 6.532
Nb 3.604 -4.057 2.484
Rh 1.169 -3.849 4.141
Rh 1.820 -0.355 4.875
Rh 3.191 -3.859 7.247
Rh -0.202 -0.346 1.770
Zn 1.290 -2.345 6.416
Zn 1.699 -1.859 2.600
Zn -0.086 1.110 3.971
Zn 3.075 -5.314 5.046

=====

Record 3
3
Lattice="-0.394 -2.496 -1.189 2.548 -1.849 3.035 -4.305 0.355 0.681" Properties=species:S:1:pos:R:3 comment="NbZnRh | the Alexandria database | PBE-GGA | optimized geometry" ef_ev_per_atom=-0.323 final_energy_ev_per_cell=-19.7 rho_g_cm3=9.4 dos_at_fermi_per_ev_atom=0.6060 pbc="T T T"
Rh -0.064 -3.193 1.259
Zn -2.349 -2.460 0.474
Nb -0.131 -0.832 -0.396

=====

Record 4
5
Lattice="2.836 0.000 0.000 0.000 3.717 0.704 0.000 0.552 7.247" Properties=species:S:1:pos:R:3 comment="NbZn2Rh2 | the Alexandria database | PBE-GGA | optimized geometry" ef_ev_per_atom=-0.320 final_energy_ev_per_cell=-28.9 relative_energy_kcal_per_mol_atoms=0.00 rho_g_cm3=9.5 dos_at_fermi_per_ev_atom=0.8032 pbc="T T T"
Zn 0.000 1.065 4.538
Zn 0.000 3.204 3.414
Nb 0.000 0.000 0.000
Rh 1.418 1.578 1.831
Rh 1.418 2.691 6.120